! Ho2InNi2 | the Open Quantum Materials Database | PBE | optimized geometry; values from VASP
! electronic total energy	-5.15	eV per atom
&SYSTEM
  ibrav = 0, nat = 5, ntyp = 3
/
ATOMIC_SPECIES
Ni 58.69 Ni.upf
Ho 164.93 Ho.upf
In 114.82 In.upf
CELL_PARAMETERS angstrom
-1.818 4.936 5.087
-1.841 -5.795 -4.070
1.245 -2.222 2.601
ATOMIC_POSITIONS crystal
Ni 0.199 0.801 0.000
Ho 0.638 0.362 0.500
Ho 0.362 0.638 0.500
Ni 0.801 0.199 0.000
In 0.000 0.000 0.000

***

! HoInNi | the Open Quantum Materials Database | PBE | optimized geometry; values from VASP
! electronic total energy	-3.96	eV per atom
&SYSTEM
  ibrav = 0, nat = 3, ntyp = 3
/
ATOMIC_SPECIES
In 114.82 In.upf
Ni 58.69 Ni.upf
Ho 164.93 Ho.upf
CELL_PARAMETERS angstrom
0.045 -4.312 1.985
1.942 -0.619 4.287
-2.765 -0.917 3.748
ATOMIC_POSITIONS crystal
In 0.250 0.250 0.250
Ni 0.750 0.750 0.750
Ho 0.000 0.000 0.000

***

! HoInNi | the Open Quantum Materials Database | PBE | optimized geometry; values from VASP
! electronic total energy	-4.71	eV per atom
&SYSTEM
  ibrav = 0, nat = 6, ntyp = 3
/
ATOMIC_SPECIES
Ni 58.69 Ni.upf
Ho 164.93 Ho.upf
In 114.82 In.upf
CELL_PARAMETERS angstrom
-1.305 -3.216 -3.006
4.364 0.185 1.414
-1.472 -4.155 5.085
ATOMIC_POSITIONS crystal
Ni 0.667 0.333 0.750
Ho 0.000 0.000 0.500
Ho 0.000 0.000 0.000
In 0.333 0.667 0.750
Ni 0.333 0.667 0.250
In 0.667 0.333 0.250

***

! HoIn2Ni9 | the Open Quantum Materials Database | PBE | optimized geometry; values from VASP
! electronic total energy	-5.24	eV per atom
&SYSTEM
  ibrav = 0, nat = 24, ntyp = 3
/
ATOMIC_SPECIES
Ni 58.69 Ni.upf
In 114.82 In.upf
Ho 164.93 Ho.upf
CELL_PARAMETERS angstrom
8.216 0.000 0.000
0.000 8.216 0.000
0.000 0.000 4.811
ATOMIC_POSITIONS crystal
Ni 0.324 0.824 0.248
In 0.625 0.875 0.000
Ni 0.795 0.937 0.500
Ni 0.205 0.063 0.500
Ni 0.324 0.824 0.752
Ni 0.063 0.795 0.500
Ni 0.000 0.500 0.500
Ni 0.437 0.295 0.500
Ni 0.676 0.176 0.248
Ni 0.676 0.176 0.752
Ni 0.705 0.437 0.500
In 0.125 0.625 0.000
Ni 0.937 0.205 0.500
Ni 0.295 0.563 0.500
In 0.875 0.375 0.000
In 0.375 0.125 0.000
Ho 0.000 0.000 0.000
Ho 0.500 0.500 0.000
Ni 0.824 0.676 0.752
Ni 0.500 0.000 0.500
Ni 0.563 0.705 0.500
Ni 0.176 0.324 0.248
Ni 0.176 0.324 0.752
Ni 0.824 0.676 0.248

***

! HoInNi | the Open Quantum Materials Database | PBE | optimized geometry; values from VASP
! electronic total energy	-4.27	eV per atom
&SYSTEM
  ibrav = 0, nat = 9, ntyp = 3
/
ATOMIC_SPECIES
Ho 164.93 Ho.upf
Ni 58.69 Ni.upf
In 114.82 In.upf
CELL_PARAMETERS angstrom
-7.237 -3.908 0.685
4.746 1.093 6.662
-1.454 2.794 0.577
ATOMIC_POSITIONS crystal
Ho 0.699 0.699 0.000
Ni 0.000 0.636 0.500
Ni 0.636 0.000 0.500
Ho 0.000 0.301 0.000
In 0.000 0.000 0.500
Ho 0.301 0.000 0.000
In 0.333 0.667 0.000
Ni 0.364 0.364 0.500
In 0.667 0.333 0.000

***

! HoInNi | the Open Quantum Materials Database | PBE | optimized geometry; values from VASP
! electronic total energy	-4.65	eV per atom
&SYSTEM
  ibrav = 0, nat = 3, ntyp = 3
/
ATOMIC_SPECIES
Ni 58.69 Ni.upf
Ho 164.93 Ho.upf
In 114.82 In.upf
CELL_PARAMETERS angstrom
0.657 -4.506 -0.130
-3.307 -2.824 1.356
-2.224 -2.539 -3.059
ATOMIC_POSITIONS crystal
Ni 0.000 0.000 0.000
Ho 0.250 0.250 0.250
In 0.750 0.750 0.750

***

! HoInNi | the Open Quantum Materials Database | PBE | optimized geometry; values from VASP
! electronic total energy	-4.57	eV per atom
&SYSTEM
  ibrav = 0, nat = 9, ntyp = 3
/
ATOMIC_SPECIES
Ni 58.69 Ni.upf
Ho 164.93 Ho.upf
In 114.82 In.upf
CELL_PARAMETERS angstrom
-2.812 2.728 5.663
-2.366 -5.970 -2.486
2.966 -2.238 2.551
ATOMIC_POSITIONS crystal
Ni 0.224 0.000 0.000
Ho 0.000 0.552 0.500
Ho 0.552 0.000 0.500
In 0.333 0.667 0.000
Ni 0.776 0.776 0.000
In 0.000 0.000 0.500
Ho 0.448 0.448 0.500
In 0.667 0.333 0.000
Ni 0.000 0.224 0.000

***

! Ho4InNi2P4 | the Open Quantum Materials Database | PBE | optimized geometry; values from VASP
! electronic total energy	-5.93	eV per atom
&SYSTEM
  ibrav = 0, nat = 11, ntyp = 4
/
ATOMIC_SPECIES
Ni 58.69 Ni.upf
Ho 164.93 Ho.upf
P 30.97 P.upf
In 114.82 In.upf
CELL_PARAMETERS angstrom
7.806 -1.916 0.000
7.806 1.916 0.000
-1.585 0.000 6.812
ATOMIC_POSITIONS crystal
Ni 0.774 0.774 0.380
Ho 0.342 0.342 0.066
P 0.917 0.917 0.324
P 0.083 0.083 0.676
In 0.000 0.000 0.000
Ho 0.658 0.658 0.934
Ho 0.584 0.584 0.387
P 0.201 0.201 0.260
Ho 0.416 0.416 0.613
Ni 0.226 0.226 0.620
P 0.799 0.799 0.740

***

! Ho3In3NiPd2 | the Open Quantum Materials Database | PBE | optimized geometry; values from VASP
! electronic total energy	-4.94	eV per atom
&SYSTEM
  ibrav = 0, nat = 9, ntyp = 4
/
ATOMIC_SPECIES
Pd 106.42 Pd.upf
Ho 164.93 Ho.upf
Ni 58.69 Ni.upf
In 114.82 In.upf
CELL_PARAMETERS angstrom
-5.230 -2.020 5.226
-0.756 -2.308 -7.270
1.979 -3.105 0.780
ATOMIC_POSITIONS crystal
Pd 0.667 0.333 0.500
Ho 0.406 0.406 0.000
Ho 0.000 0.594 0.000
Ni 0.000 0.000 0.000
In 0.000 0.251 0.500
In 0.251 0.000 0.500
In 0.749 0.749 0.500
Ho 0.594 0.000 0.000
Pd 0.333 0.667 0.500

***

! PrHoIn2Ni4 | the Open Quantum Materials Database | PBE | optimized geometry; values from VASP
! electronic total energy	-5.07	eV per atom
&SYSTEM
  ibrav = 0, nat = 8, ntyp = 4
/
ATOMIC_SPECIES
Ni 58.69 Ni.upf
Ho 164.93 Ho.upf
In 114.82 In.upf
Pr 140.91 Pr.upf
CELL_PARAMETERS angstrom
-2.766 2.943 0.171
-2.029 -2.154 4.241
4.365 3.868 4.053
ATOMIC_POSITIONS crystal
Ni 0.000 0.244 0.006
Ni 0.500 0.000 0.893
Ni 0.500 0.500 0.112
Ho 0.500 0.000 0.266
In 0.000 0.500 0.345
Pr 0.500 0.500 0.725
In 0.000 0.000 0.646
Ni 0.000 0.756 0.006

***

! Ho3In3Ni2Pt | the Open Quantum Materials Database | PBE | optimized geometry; values from VASP
! electronic total energy	-4.99	eV per atom
&SYSTEM
  ibrav = 0, nat = 9, ntyp = 4
/
ATOMIC_SPECIES
Ni 58.69 Ni.upf
In 114.82 In.upf
Ho 164.93 Ho.upf
Pt 195.08 Pt.upf
CELL_PARAMETERS angstrom
7.486 0.000 0.000
-3.743 6.483 0.000
0.000 0.000 3.876
ATOMIC_POSITIONS crystal
Ni 0.667 0.333 0.500
In 0.732 0.732 0.500
Ho 0.595 0.000 0.000
Ho 0.405 0.405 0.000
In 0.000 0.268 0.500
In 0.268 0.000 0.500
Pt 0.000 0.000 0.000
Ho 0.000 0.595 0.000
Ni 0.333 0.667 0.500

***

! Ho3In3NiPt2 | the Open Quantum Materials Database | PBE | optimized geometry; values from VASP
! electronic total energy	-5.28	eV per atom
&SYSTEM
  ibrav = 0, nat = 9, ntyp = 4
/
ATOMIC_SPECIES
In 114.82 In.upf
Ni 58.69 Ni.upf
Pt 195.08 Pt.upf
Ho 164.93 Ho.upf
CELL_PARAMETERS angstrom
7.667 0.000 0.000
-3.834 6.640 0.000
0.000 0.000 3.735
ATOMIC_POSITIONS crystal
In 0.000 0.250 0.500
Ni 0.000 0.000 0.000
Pt 0.333 0.667 0.500
Ho 0.590 0.000 0.000
Ho 0.410 0.410 0.000
In 0.250 0.000 0.500
Pt 0.667 0.333 0.500
In 0.750 0.750 0.500
Ho 0.000 0.590 0.000

***

! TbHoInNi2 | the Open Quantum Materials Database | PBE | optimized geometry; values from VASP
! electronic total energy	-5.15	eV per atom
&SYSTEM
  ibrav = 0, nat = 5, ntyp = 4
/
ATOMIC_SPECIES
In 114.82 In.upf
Tb 158.93 Tb.upf
Ni 58.69 Ni.upf
Ho 164.93 Ho.upf
CELL_PARAMETERS angstrom
3.664 0.000 0.000
0.000 1.936 7.190
0.000 -1.936 7.190
ATOMIC_POSITIONS crystal
In 0.500 0.000 0.000
Tb 0.000 0.639 0.639
Ni 0.500 0.201 0.201
Ni 0.500 0.800 0.800
Ho 0.000 0.360 0.360

***

! HoInNiTe3 | the Open Quantum Materials Database | PBE | optimized geometry; values from VASP
! electronic total energy	-4.34	eV per atom
! excess energy over the best structure of this formula in the dataset	6	meV per atom
&SYSTEM
  ibrav = 0, nat = 24, ntyp = 4
/
ATOMIC_SPECIES
Te 127.60 Te.upf
In 114.82 In.upf
Ho 164.93 Ho.upf
Ni 58.69 Ni.upf
CELL_PARAMETERS angstrom
12.364 0.000 0.000
0.000 4.091 0.000
0.000 0.000 12.667
ATOMIC_POSITIONS crystal
Te 0.285 0.500 0.727
Te 0.785 0.000 0.773
In 0.490 0.500 0.305
Te 0.558 0.500 0.898
Te 0.442 0.000 0.102
Te 0.131 0.000 0.979
Ho 0.192 0.500 0.469
Te 0.215 0.500 0.227
Te 0.715 0.000 0.273
Te 0.942 0.500 0.398
Te 0.869 0.500 0.021
Ni 0.841 0.500 0.221
Te 0.369 0.000 0.479
Ni 0.159 0.000 0.779
Ni 0.341 0.000 0.279
In 0.510 0.000 0.695
Te 0.631 0.500 0.521
In 0.990 0.000 0.195
Ho 0.808 0.000 0.531
Te 0.058 0.000 0.602
Ho 0.308 0.500 0.969
Ho 0.692 0.000 0.031
Ni 0.659 0.500 0.721
In 0.010 0.500 0.805

***

! HoInNiTe3 | the Open Quantum Materials Database | PBE | optimized geometry; values from VASP
! electronic total energy	-4.35	eV per atom
! excess energy over the best structure of this formula in the dataset	0	meV per atom
&SYSTEM
  ibrav = 0, nat = 12, ntyp = 4
/
ATOMIC_SPECIES
Te 127.60 Te.upf
In 114.82 In.upf
Ho 164.93 Ho.upf
Ni 58.69 Ni.upf
CELL_PARAMETERS angstrom
2.015 -7.651 0.000
2.015 7.651 0.000
0.000 0.000 10.894
ATOMIC_POSITIONS crystal
Te 0.639 0.361 0.076
In 0.753 0.247 0.750
Te 0.361 0.639 0.924
In 0.247 0.753 0.250
Te 0.361 0.639 0.576
Ho 0.000 0.000 0.500
Ni 0.476 0.524 0.750
Te 0.082 0.918 0.750
Te 0.918 0.082 0.250
Ho 0.000 0.000 0.000
Ni 0.524 0.476 0.250
Te 0.639 0.361 0.424

***

! HoTm2In3Ni3 | the Open Quantum Materials Database | PBE | optimized geometry; values from VASP
! electronic total energy	-4.79	eV per atom
&SYSTEM
  ibrav = 0, nat = 9, ntyp = 4
/
ATOMIC_SPECIES
Ho 164.93 Ho.upf
Tm 168.93 Tm.upf
Ni 58.69 Ni.upf
In 114.82 In.upf
CELL_PARAMETERS angstrom
-1.458 -2.433 -2.478
2.255 -5.630 4.201
-6.686 2.938 1.048
ATOMIC_POSITIONS crystal
Ho 0.000 0.411 0.411
Tm 0.000 0.000 0.589
Ni 0.500 0.667 0.333
Ni 0.500 0.333 0.667
In 0.500 0.256 0.999
Ni 0.000 0.000 0.000
In 0.500 0.745 0.745
In 0.500 0.999 0.256
Tm 0.000 0.589 0.000

***

! HoTmIn2Ni4 | the Open Quantum Materials Database | PBE | optimized geometry; values from VASP
! electronic total energy	-5.07	eV per atom
! excess energy over the best structure of this formula in the dataset	0	meV per atom
&SYSTEM
  ibrav = 0, nat = 8, ntyp = 4
/
ATOMIC_SPECIES
Tm 168.93 Tm.upf
Ni 58.69 Ni.upf
Ho 164.93 Ho.upf
In 114.82 In.upf
CELL_PARAMETERS angstrom
3.983 0.000 0.000
0.000 5.056 0.000
0.000 0.000 6.959
ATOMIC_POSITIONS crystal
Tm 0.000 0.500 0.264
Ni 0.000 0.500 0.888
Ni 0.500 0.749 0.001
Ho 0.000 0.000 0.734
Ni 0.000 0.000 0.113
In 0.500 0.000 0.356
Ni 0.500 0.251 0.001
In 0.500 0.500 0.643

***

! HoTmIn4Ni2 | the Open Quantum Materials Database | PBE | optimized geometry; values from VASP
! electronic total energy	-4.32	eV per atom
&SYSTEM
  ibrav = 0, nat = 8, ntyp = 4
/
ATOMIC_SPECIES
In 114.82 In.upf
Ho 164.93 Ho.upf
Ni 58.69 Ni.upf
Tm 168.93 Tm.upf
CELL_PARAMETERS angstrom
-4.264 -2.690 -5.436
-4.593 1.668 2.778
-3.107 4.682 0.120
ATOMIC_POSITIONS crystal
In 0.700 0.857 0.857
Ho 0.000 0.433 0.433
Ni 0.000 0.716 0.716
Tm 0.500 0.567 0.567
Ni 0.500 0.285 0.285
In 0.300 0.857 0.857
In 0.799 0.143 0.143
In 0.201 0.143 0.143

***

! HoTmInNi2 | the Open Quantum Materials Database | PBE | optimized geometry; values from VASP
! electronic total energy	-5.14	eV per atom
&SYSTEM
  ibrav = 0, nat = 5, ntyp = 4
/
ATOMIC_SPECIES
Ni 58.69 Ni.upf
Tm 168.93 Tm.upf
In 114.82 In.upf
Ho 164.93 Ho.upf
CELL_PARAMETERS angstrom
-2.915 -2.123 -0.397
-3.965 4.701 3.981
-4.337 5.895 0.326
ATOMIC_POSITIONS crystal
Ni 0.500 0.803 0.803
Tm 0.000 0.361 0.361
Ni 0.500 0.199 0.199
In 0.500 0.999 0.999
Ho 0.000 0.638 0.638

***

! HoTmIn2Ni4 | the Open Quantum Materials Database | PBE | optimized geometry; values from VASP
! electronic total energy	-5.02	eV per atom
! excess energy over the best structure of this formula in the dataset	46	meV per atom
&SYSTEM
  ibrav = 0, nat = 8, ntyp = 4
/
ATOMIC_SPECIES
Ni 58.69 Ni.upf
In 114.82 In.upf
Ho 164.93 Ho.upf
Tm 168.93 Tm.upf
CELL_PARAMETERS angstrom
-4.040 -1.582 -0.685
3.144 -0.629 -3.003
2.162 -7.151 3.763
ATOMIC_POSITIONS crystal
Ni 0.333 0.667 0.660
Ni 0.000 0.000 0.836
Ni 0.000 0.000 0.164
In 0.667 0.333 0.252
Ho 0.333 0.667 0.000
Ni 0.333 0.667 0.340
Tm 0.000 0.000 0.500
In 0.667 0.333 0.748